Record 1
The following is a GGA-PBE calculation of KLa2Tl after structural relaxation, from Alexandria.

Summary:
For the distance to the lowest polymorph of the same formula, the calculation gives 0.143 eV/atom. The space group is Imm2 (44). The calculation puts the energy of formation from the pure elements at 0.13 eV per atom.

Cell and atoms, written as CIF:
```
data_KLa2Tl
_cell_length_a 6.6766
_cell_length_b 6.6766
_cell_length_c 6.6766
_cell_angle_alpha 138.58
_cell_angle_beta 133.30
_cell_angle_gamma 64.17
_space_group_name_H-M_alt 'P 1'
_space_group_IT_number 1
loop_
_space_group_symop_operation_xyz
'x,y,z'
loop_
_atom_site_label
_atom_site_type_symbol
_atom_site_fract_x
_atom_site_fract_y
_atom_site_fract_z
K1 K 0.0000 0.0000 0.0000
La1 La 0.2715 0.7715 0.5000
La2 La 0.5346 0.5346 0.0000
Tl1 Tl 0.7570 0.2570 0.5000
```

=====

Record 2
The following is a GGA-PBE calculation of Ce2Pr3SmP6 after structural relaxation, from Alexandria.

Summary:
The space group is C2/m (12). The calculation puts the energy of formation from the pure elements at -1.53 eV per atom.

Cell and atoms, written as CIF:
```
data_Ce2Pr3SmP6
_cell_length_a 7.1773
_cell_length_b 7.1773
_cell_length_c 7.1846
_cell_angle_alpha 99.58
_cell_angle_beta 99.58
_cell_angle_gamma 120.00
_space_group_name_H-M_alt 'P 1'
_space_group_IT_number 1
loop_
_space_group_symop_operation_xyz
'x,y,z'
loop_
_atom_site_label
_atom_site_type_symbol
_atom_site_fract_x
_atom_site_fract_y
_atom_site_fract_z
Ce1 Ce 0.1668 0.8332 0.0000
Ce2 Ce 0.8332 0.1668 0.0000
Pr1 Pr 0.0000 0.0000 0.5000
Pr2 Pr 0.3340 0.6660 0.5000
Pr3 Pr 0.6660 0.3340 0.5000
Sm1 Sm 0.5000 0.5000 0.0000
P1 P 0.0831 0.4198 0.7596
P2 P 0.2436 0.2436 0.2409
P3 P 0.4198 0.0831 0.7596
P4 P 0.5802 0.9169 0.2404
P5 P 0.7564 0.7564 0.7591
P6 P 0.9169 0.5802 0.2404
```

=====

Record 3
The following is a GGA-PBE calculation of Rb4Dy3ErSe8 after structural relaxation, from Alexandria.

Summary:
The calculation puts the uncorrected energy at -4.870 eV per atom. The space group is R-3m (166).

Cell and atoms, written as CIF:
```
data_Rb4Dy3ErSe8
_cell_length_a 9.3688
_cell_length_b 9.3688
_cell_length_c 9.3688
_cell_angle_alpha 53.73
_cell_angle_beta 53.73
_cell_angle_gamma 53.73
_space_group_name_H-M_alt 'P 1'
_space_group_IT_number 1
loop_
_space_group_symop_operation_xyz
'x,y,z'
loop_
_atom_site_label
_atom_site_type_symbol
_atom_site_fract_x
_atom_site_fract_y
_atom_site_fract_z
Rb1 Rb 0.0000 0.0000 0.0000
Rb2 Rb 0.0000 0.5000 0.5000
Rb3 Rb 0.5000 0.0000 0.5000
Rb4 Rb 0.5000 0.5000 0.0000
Dy1 Dy 0.0000 0.0000 0.5000
Dy2 Dy 0.0000 0.5000 0.0000
Dy3 Dy 0.5000 0.0000 0.0000
Er1 Er 0.5000 0.5000 0.5000
Se1 Se 0.2319 0.2319 0.2319
Se2 Se 0.2335 0.7307 0.7307
Se3 Se 0.2693 0.2693 0.7665
Se4 Se 0.2693 0.7665 0.2693
Se5 Se 0.7307 0.2335 0.7307
Se6 Se 0.7307 0.7307 0.2335
Se7 Se 0.7665 0.2693 0.2693
Se8 Se 0.7681 0.7681 0.7681
```

=====

Number 1: M_tot 0.0000 μB/atom. Number 2: M_tot 0.0676 μB/atom. Number 3: M_tot 0.0000 μB/atom.